[1]
VASP calculation (PBE) on an optimized crystal structure of Ce8GePt2.

Values from the calculation:
Energy   -6.33 eV/atom
Formation enthalpy at 0 K   -0.493 eV/atom

a = 18.0181 Å, b = 4.8019 Å, c = 6.7369 Å
α = 90.00°, β = 110.14°, γ = 90.00°
Last column: nearest neighbours and their distance in Å.
Space group C2/m (No. 12)
Unique sites:
1 Ce 0.0004 0.0000 0.2474 x4  2 Ge 2.94, 1 Pt 2.96, 2 Ce 2.99
2 Ce 0.0870 0.5000 0.9800 x4  3 Ce 2.99-3.24, 2 Pt 2.99, 1 Ge 3.07
3 Ce 0.1708 0.5000 0.5301 x4  3 Pt 2.87-3.09, 2 Ce 2.99, 1 Ge 3.01
4 Ce 0.1996 0.0000 0.8119 x4  2 Ce 2.99, 1 Pt 3.13
5 Ge 0.0000 0.5000 0.5000 x2  8 Ce 2.94-3.07
6 Pt 0.1626 0.0000 0.2336 x4  7 Ce 2.87-3.13


[2]
VASP calculation (PBE) on an optimized crystal structure of Y3Ir.

Values from the calculation:
Energy   -7.63 eV/atom
Formation enthalpy at 0 K   -0.565 eV/atom

a = 7.2599 Å, b = 9.3038 Å, c = 6.4271 Å
α = 90.00°, β = 90.00°, γ = 90.00°
Last column: nearest neighbours and their distance in Å.
Space group Pnma (No. 62)
Unique sites:
1 Y 0.0347 0.2500 0.1311 x4  2 Ir 2.77-2.87
2 Y 0.1764 0.0631 0.6747 x8  2 Ir 2.87-2.93
3 Ir 0.1162 0.7500 0.4564 x4  6 Y 2.77-2.93


[3]
VASP calculation (PBE) on an optimized crystal structure of YHo2SnN4.

Values from the calculation:
Energy   -7.71 eV/atom

a = 5.9867 Å, b = 3.4604 Å, c = 5.9968 Å
α = 90.00°, β = 109.60°, γ = 90.00°
Last column: nearest neighbours and their distance in Å.
Space group P2/m (No. 10)
Unique sites:
1 Y 0.0000 0.0000 0.0000 x1  6 N 2.45-2.46
2 Ho 0.0000 0.5000 0.5000 x1  6 N 2.40-2.41
3 Ho 0.5000 0.0000 0.5000 x1  6 N 2.44
4 Sn 0.5000 0.5000 0.0000 x1  6 N 2.48-2.50
5 N 0.2433 0.0000 0.7413 x2  3 Ho 2.41-2.44, 1 Y 2.46, 2 Sn 2.48
6 N 0.2466 0.5000 0.2567 x2  3 Ho 2.40-2.44, 2 Y 2.45, 1 Sn 2.50


[4]
VASP calculation (PBE) on an optimized crystal structure of Li2H6Se.

Values from the calculation:
Energy   -2.67 eV/atom

a = 7.0137 Å, b = 7.0137 Å, c = 7.0137 Å
α = 90.00°, β = 90.00°, γ = 90.00°
Last column: nearest neighbours and their distance in Å.
Space group Fm-3m (No. 225)
Unique sites:
1 Li 0.2500 0.2500 0.2500 x8  12 H 2.48
2 H 0.0000 0.0000 0.2428 x24  1 Se 1.80
3 Se 0.0000 0.0000 0.5000 x4  6 H 1.80


[5]
VASP calculation (PBE) on an optimized crystal structure of CaZr3Se.

Values from the calculation:
Energy   -6.36 eV/atom

a = 5.1227 Å, b = 5.1227 Å, c = 5.1227 Å
α = 90.00°, β = 90.00°, γ = 90.00°
Last column: nearest neighbours and their distance in Å.
Space group Pm-3m (No. 221)
Unique sites:
1 Ca 0.0000 0.0000 0.0000 x1  12 Zr 3.62
2 Zr 0.0000 0.5000 0.5000 x3  2 Se 2.56
3 Se 0.5000 0.5000 0.5000 x1  6 Zr 2.56


[6]
VASP calculation (PBE) on an optimized crystal structure of MgTi2Ir3.

Values from the calculation:
Energy   -8.12 eV/atom
Formation enthalpy at 0 K   -0.791 eV/atom

a = 2.9950 Å, b = 2.9950 Å, c = 10.1898 Å
α = 90.00°, β = 90.00°, γ = 90.00°
Last column: nearest neighbours and their distance in Å.
Space group P4/mmm (No. 123)
Unique sites:
1 Mg 0.0000 0.0000 0.0000 x1  8 Ir 2.80, 4 Mg 2.99
2 Ti 0.0000 0.0000 0.3298 x2  8 Ir 2.61-2.74
3 Ir 0.5000 0.5000 0.1793 x2  4 Ti 2.61, 4 Mg 2.80
4 Ir 0.5000 0.5000 0.5000 x1  8 Ti 2.74, 4 Ir 2.99


[7]
VASP calculation (PBE) on an optimized crystal structure of Ta5Cu4.

Values from the calculation:
Energy   -8.23 eV/atom
Formation enthalpy at 0 K   0.173 eV/atom

a = 9.2065 Å, b = 9.2065 Å, c = 3.3422 Å
α = 90.00°, β = 90.00°, γ = 90.00°
Last column: nearest neighbours and their distance in Å.
Space group I4/mmm (No. 139)
Unique sites:
1 Ta 0.0000 0.0000 0.0000 x2  8 Ta 2.76
2 Ta 0.1686 0.1686 0.5000 x8  4 Ta 2.70-2.76, 4 Cu 2.81
3 Cu 0.0000 0.3469 0.0000 x8  5 Cu 2.60-2.82, 4 Ta 2.81


[8]
VASP calculation (PBE) on an optimized crystal structure of InHg3Br9.

Values from the calculation:
Energy   -1.97 eV/atom

a = 19.8971 Å, b = 10.4355 Å, c = 13.3467 Å
α = 90.00°, β = 130.22°, γ = 90.00°
Last column: nearest neighbours and their distance in Å.
Space group Cc (No. 9)
Unique sites:
1 In 0.0000 0.1978 0.0000 x4  3 Br 2.50-2.55
2 Hg 0.1309 0.2543 0.8587 x4  2 Br 2.48-2.52
3 Hg 0.1998 0.1998 0.6363 x4  2 Br 2.47
4 Hg 0.3584 0.4362 0.6083 x4  2 Br 2.49-2.50
5 Br 0.0195 0.0670 0.2235 x4  1 Hg 2.50
6 Br 0.0551 0.2670 0.5633 x4  1 Hg 2.47
7 Br 0.1565 0.1253 0.1148 x4  1 In 2.54
8 Br 0.1953 0.4569 0.4480 x4  1 Hg 2.49
9 Br 0.2706 0.1656 0.9263 x4  1 Hg 2.48
10 Br 0.3401 0.1584 0.6833 x4  1 Hg 2.47
11 Br 0.3706 0.4521 0.3410 x4  1 In 2.55
12 Br 0.4610 0.1015 0.5548 x4  1 In 2.50
13 Br 0.4864 0.1785 0.2966 x4  1 Hg 2.52


[9]
VASP calculation (PBE) on an optimized crystal structure of Hg2PbBr.

Values from the calculation:
Energy   -1.64 eV/atom

a = 4.0013 Å, b = 4.1467 Å, c = 7.0047 Å
α = 90.00°, β = 90.00°, γ = 90.00°
Last column: nearest neighbours and their distance in Å.
Space group Pmmm (No. 47)
Unique sites:
1 Hg 0.0000 0.0000 0.2435 x2  4 Pb 3.35, 4 Br 3.40, 2 Hg 3.41-3.59
2 Pb 0.5000 0.5000 0.0000 x1  8 Hg 3.35, 2 Br 3.50
3 Br 0.5000 0.5000 0.5000 x1  8 Hg 3.40, 2 Pb 3.50


[10]
VASP calculation (PBE) on an optimized crystal structure of K2AcAgF8.

Values from the calculation:
Energy   -4.71 eV/atom

a = 4.2493 Å, b = 6.2125 Å, c = 8.5383 Å
α = 83.38°, β = 88.73°, γ = 86.17°
Last column: nearest neighbours and their distance in Å.
Space group P-1 (No. 2)
Unique sites:
1 K 0.0050 0.0134 0.2428 x2  6 F 2.56-2.86
2 Ac 0.5000 0.5000 0.5000 x1  6 F 2.38-2.59
3 Ag 0.5000 0.5000 0.0000 x1  4 F 1.97-1.98
4 F 0.0074 0.2887 0.4610 x2  2 Ac 2.48-2.59, 1 K 2.67, 1 F 2.78
5 F 0.1281 0.6992 0.0266 x2  1 Ag 1.97
6 F 0.4541 0.3396 0.2129 x2  1 Ag 1.98
7 F 0.4727 0.2182 0.7136 x2  1 Ac 2.38, 2 K 2.56-2.57


[11]
VASP calculation (PBE) on an optimized crystal structure of Ba2ZrRh.

Values from the calculation:
Energy   -4.89 eV/atom
Formation enthalpy at 0 K   0.043 eV/atom

a = 3.8277 Å, b = 6.0677 Å, c = 11.8402 Å
α = 90.00°, β = 90.00°, γ = 90.00°
Last column: nearest neighbours and their distance in Å.
Space group Imm2 (No. 44)
Unique sites:
1 Ba 0.0000 0.0000 0.0000 x2  2 Rh 3.40, 2 Ba 3.80
2 Ba 0.0000 0.5000 0.1930 x2  4 Rh 3.63, 2 Zr 3.72, 4 Ba 3.80-3.83
3 Zr 0.0000 0.0000 0.3753 x2  2 Rh 2.52
4 Rh 0.0000 0.5000 0.7372 x2  2 Zr 2.52


[12]
VASP calculation (PBE) on an optimized crystal structure of Cu2AsRu2.

Values from the calculation:
Energy   -6.10 eV/atom
Formation enthalpy at 0 K   0.182 eV/atom

a = 6.1310 Å, b = 6.1310 Å, c = 3.9826 Å
α = 90.00°, β = 90.00°, γ = 90.00°
Last column: nearest neighbours and their distance in Å.
Space group P4/mbm (No. 127)
Unique sites:
1 Cu 0.1553 0.3447 0.0000 x4  6 Ru 2.64-2.71, 1 Cu 2.69
2 As 0.0000 0.0000 0.5000 x2  4 Ru 2.35
3 Ru 0.1444 0.6444 0.5000 x4  2 As 2.35, 1 Ru 2.50


[13]
VASP calculation (PBE) on an optimized crystal structure of Na3NF6.

Values from the calculation:
Energy   -4.05 eV/atom

a = 8.6144 Å, b = 11.2782 Å, c = 6.1693 Å
α = 90.00°, β = 90.00°, γ = 90.00°
Last column: nearest neighbours and their distance in Å.
Space group Cmc2_1 (No. 36)
Unique sites:
1 Na 0.0000 0.0769 0.0000 x4  5 F 2.28-2.38
2 Na 0.2052 0.3942 0.9902 x8  3 F 2.18-2.20
3 N 0.0000 0.3551 0.4370 x4  3 F 1.40-1.44
4 F 0.0000 0.2786 0.0105 x4  3 Na 2.20-2.28
5 F 0.0000 0.4468 0.6003 x4  1 N 1.44
6 F 0.1266 0.2863 0.5054 x8  1 N 1.40
7 F 0.1805 0.0060 0.7495 x8  4 Na 2.18-2.38


[14]
VASP calculation (PBE) on an optimized crystal structure of CaYOs2O8.

Values from the calculation:
Energy   -7.50 eV/atom

a = 5.9270 Å, b = 5.9270 Å, c = 6.7966 Å
α = 90.00°, β = 90.00°, γ = 120.00°
Last column: nearest neighbours and their distance in Å.
Space group P-3m1 (No. 164)
Unique sites:
1 Ca 0.0000 0.0000 0.0000 x1  6 O 2.48
2 Y 0.0000 0.0000 0.5000 x1  6 O 2.26
3 Os 0.3333 0.6667 0.8066 x2  4 O 1.78-1.85
4 O 0.1608 0.3215 0.7272 x6  1 Os 1.85
5 O 0.3333 0.6667 0.0689 x2  1 Os 1.78


[15]
VASP calculation (PBE) on an optimized crystal structure of Mg2AlTl.

Values from the calculation:
Energy   -2.28 eV/atom
Formation enthalpy at 0 K   0.047 eV/atom

a = 9.6731 Å, b = 3.2698 Å, c = 5.8257 Å
α = 90.00°, β = 101.22°, γ = 90.00°
Last column: nearest neighbours and their distance in Å.
Space group C2/m (No. 12)
Unique sites:
1 Mg 0.2449 0.0000 0.2345 x4  3 Al 2.98-3.04, 3 Tl 3.07-3.11, 4 Mg 3.20-3.27
2 Al 0.0000 0.5000 0.0000 x2  6 Mg 2.98-3.04, 2 Al 3.27
3 Tl 0.0000 0.0000 0.5000 x2  6 Mg 3.07-3.11, 2 Tl 3.27, 4 Al 3.34